# CaAc2Ga

A relaxed CaAc2Ga crystal (PBE, Alexandria).

Summary:
As for the formation energy: -0.32 eV per formula unit.

Cell: 5.8237 5.8237 5.8237 Å, 60.00 60.00 60.00°
Last column: nearest neighbours and their distance in Å.
Positions (direct):
Ga1 0.5000 0.5000 0.5000  8 Ac 3.57
Ca1 0.0000 0.0000 0.0000  8 Ac 3.57
Ac1 0.7500 0.7500 0.7500  4 Ca 3.57, 4 Ga 3.57
Ac2 0.2500 0.2500 0.2500  4 Ca 3.57, 4 Ga 3.57

# Zr2FeH6

A relaxed Zr2FeH6 crystal (PBE, Alexandria).

Summary:
As for the total energy: -5.37 eV per atom.

Cell: 3.2857 4.4731 5.6900 Å, 113.15 106.78 90.00°
Last column: nearest neighbours and their distance in Å.
Positions (direct):
H1 0.5000 0.2154 0.0000  2 Fe 1.90, 1 H 1.93, 2 Zr 2.04
H2 0.1570 0.9300 0.3139  1 Fe 1.86, 1 H 2.03, 3 Zr 2.05-2.08
H3 0.1570 0.3839 0.3139  1 Fe 1.86, 1 H 2.03, 3 Zr 2.05-2.08
Fe1 0.0000 0.0000 0.0000  8 H 1.86-1.90
H4 0.5000 0.7846 0.0000  2 Fe 1.90, 1 H 1.93, 2 Zr 2.04
H5 0.8430 0.0700 0.6861  1 Fe 1.86, 1 H 2.03, 3 Zr 2.05-2.08
H6 0.8430 0.6161 0.6861  1 Fe 1.86, 1 H 2.03, 3 Zr 2.05-2.08
Zr1 0.3390 0.3391 0.6783  8 H 2.04-2.08
Zr2 0.6610 0.6609 0.3217  8 H 2.04-2.08

# Co2BiAs2

A relaxed Co2BiAs2 crystal (PBE, Alexandria).

Summary:
As for the formation energy: 0.69 eV per formula unit.

Cell: 3.9023 3.9023 6.2749 Å, 71.88 71.88 90.00°
Last column: nearest neighbours and their distance in Å.
Positions (direct):
Co1 0.3758 0.3758 0.2484  4 As 2.41
As1 0.7500 0.2500 0.5000  4 Co 2.41
As2 0.2500 0.7500 0.5000  4 Co 2.41
Co2 0.6242 0.6242 0.7516  4 As 2.41
Bi1 0.0000 0.0000 0.0000  8 Co 3.09, 8 As 3.43

# PaTlInF6

A relaxed PaTlInF6 crystal (PBE, Alexandria).

Summary:
The calculation puts the uncorrected formation energy at -2.883 eV/atom.

Cell: 7.1781 7.1781 8.4782 Å, 90.00 90.00 120.00°
Last column: nearest neighbours and their distance in Å.
Positions (direct):
Tl1 0.3333 0.6667 0.2500  6 F 2.97
Pa1 0.6667 0.3333 0.2500  6 F 2.19
F1 0.3265 0.9217 0.6125  1 Pa 2.19
F2 0.4048 0.3265 0.3875  1 Pa 2.19
F3 0.6735 0.0783 0.3875  1 Pa 2.19
Pa2 0.3333 0.6667 0.7500  6 F 2.19
F4 0.9217 0.3265 0.1125  1 Pa 2.19
F5 0.6735 0.5952 0.1125  1 Pa 2.19
F6 0.0783 0.6735 0.8875  1 Pa 2.19
In1 0.0000 0.0000 0.5000  6 F 2.83
F7 0.5952 0.9217 0.8875  1 Pa 2.19
F8 0.3265 0.4048 0.8875  1 Pa 2.19
F9 0.5952 0.6735 0.6125  1 Pa 2.19
F10 0.4048 0.0783 0.1125  1 Pa 2.19
F11 0.9217 0.5952 0.3875  1 Pa 2.19
In2 0.0000 0.0000 0.0000  6 F 2.83
F12 0.0783 0.4048 0.6125  1 Pa 2.19
Tl2 0.6667 0.3333 0.7500  6 F 2.97

# KOsI2N

A relaxed KOsI2N crystal (PBE, Alexandria).

Summary:
The calculation puts the uncorrected formation energy at -0.084 eV/atom.

Cell: 5.8084 5.8084 3.7934 Å, 90.00 90.00 90.00°
Last column: nearest neighbours and their distance in Å.
Positions (direct):
I1 0.5000 0.0000 0.0000  2 Os 2.90
N1 0.0000 0.0000 0.5000  2 Os 1.90
I2 0.0000 0.5000 0.0000  2 Os 2.90
Os1 0.0000 0.0000 0.0000  2 N 1.90
K1 0.5000 0.5000 0.5000  8 I 3.47, 2 K 3.79

# GeSbSeBr2

A relaxed GeSbSeBr2 crystal (PBE, Alexandria).

Summary:
The calculation puts the uncorrected formation energy at 0.169 eV/atom.

Cell: 5.1886 5.1886 5.3482 Å, 90.00 90.00 90.00°
Last column: nearest neighbours and their distance in Å.
Positions (direct):
Br1 0.0000 0.5000 0.0000  2 Ge 2.59
Se1 0.0000 0.0000 0.5000  2 Ge 2.67
Ge1 0.0000 0.0000 0.0000  4 Br 2.59, 2 Se 2.67
Sb1 0.5000 0.5000 0.5000  4 Se 3.67, 8 Br 3.73
Br2 0.5000 0.0000 0.0000  2 Ge 2.59

# Pm3Pr2Dy4

A relaxed Pm3Pr2Dy4 crystal (PBE, Alexandria).

Summary:
As for the formation energy: 0.53 eV per formula unit.

Cell: 3.6276 3.6276 26.8241 Å, 90.00 90.00 120.00°
Last column: nearest neighbours and their distance in Å.
Positions (direct):
Pm1 0.0000 0.0000 0.3269  6 Dy 3.52-3.62, 6 Pm 3.63
Pm2 0.0000 0.0000 0.9832  6 Pr 3.61-3.76, 6 Pm 3.63
Dy1 0.6667 0.3333 0.2214  1 Pr 3.45, 3 Pm 3.52, 6 Dy 3.63
Dy2 0.6667 0.3333 0.4372  9 Dy 3.49-3.63, 3 Pm 3.62
Pr1 0.6667 0.3333 0.8668  3 Dy 3.59, 6 Pr 3.63, 3 Pm 3.76
Pr2 0.6667 0.3333 0.0927  1 Dy 3.45, 3 Pm 3.61, 6 Pr 3.63
Pm3 0.6667 0.3333 0.6497  6 Dy 3.59, 6 Pm 3.63
Dy3 0.0000 0.0000 0.7582  3 Pm 3.59, 3 Pr 3.59, 6 Dy 3.63
Dy4 0.0000 0.0000 0.5411  9 Dy 3.49-3.63, 3 Pm 3.59

# Nb3OsBr

A relaxed Nb3OsBr crystal (PBE, Alexandria).

Summary:
The calculation puts the uncorrected formation energy at 1.144 eV/atom.

Cell: 4.9327 4.9327 4.9327 Å, 90.00 90.00 90.00°
Last column: nearest neighbours and their distance in Å.
Positions (direct):
Nb1 0.5000 0.0000 0.0000  2 Os 2.47
Os1 0.0000 0.0000 0.0000  6 Nb 2.47
Nb2 0.0000 0.0000 0.5000  2 Os 2.47
Br1 0.5000 0.5000 0.5000  12 Nb 3.49
Nb3 0.0000 0.5000 0.0000  2 Os 2.47

| no. | Fermi-level density of states (states/eV per cell) |
| --- | --- |
| 1 | 3.102 |
| 2 | 3.393 |
| 3 | 5.189 |
| 4 | 8.467 |
| 5 | 2.416 |
| 6 | 3.053 |
| 7 | 15.972 |
| 8 | 7.205 |